Entry from Alexandria via LeMat-Bulk: an optimized crystal structure of Fe2CoGeAu (GGA-PBE).

## Properties
* final energy: -28.62 eV per cell
* formation energy from the elements: 661 meV/atom

Geometry as CIF:
```
data_Fe2CoGeAu
_cell_length_a 4.401
_cell_length_b 4.401
_cell_length_c 4.281
_cell_angle_alpha 90.00
_cell_angle_beta 90.00
_cell_angle_gamma 90.00
_space_group_name_H-M_alt 'P 1'
_space_group_IT_number 1
_space_group_name_Hall 'P 1'
loop_
_atom_site_label
_atom_site_type_symbol
_atom_site_fract_x
_atom_site_fract_y
_atom_site_fract_z
Fe1 Fe 0.000 0.500 0.000
Fe2 Fe 0.500 0.000 0.000
Co1 Co 0.000 0.000 0.000
Ge1 Ge 0.000 0.000 0.500
Au1 Au 0.500 0.500 0.500
```

***

Entry from Alexandria via LeMat-Bulk: an optimized crystal structure of Fe2CoHAu (GGA-PBE).

## Properties
* final energy: -30.41 eV per cell

Geometry as CIF:
```
data_Fe2CoHAu
_cell_length_a 3.794
_cell_length_b 3.794
_cell_length_c 3.767
_cell_angle_alpha 90.00
_cell_angle_beta 90.00
_cell_angle_gamma 90.00
_space_group_name_H-M_alt 'P 1'
_space_group_IT_number 1
_space_group_name_Hall 'P 1'
loop_
_atom_site_label
_atom_site_type_symbol
_atom_site_fract_x
_atom_site_fract_y
_atom_site_fract_z
Fe1 Fe 0.000 0.500 0.000
Fe2 Fe 0.500 0.000 0.000
Co1 Co 0.000 0.000 0.500
H1 H 0.000 0.000 0.000
Au1 Au 0.500 0.500 0.500
```

***

Entry from Alexandria via LeMat-Bulk: an optimized crystal structure of FeCo2AuN (GGA-PBE).

## Properties
* final energy: -34.34 eV per cell
* uncorrected formation energy: -0.1 eV/f.u.

Geometry as CIF:
```
data_FeCo2AuN
_cell_length_a 3.846
_cell_length_b 3.846
_cell_length_c 3.879
_cell_angle_alpha 90.00
_cell_angle_beta 90.00
_cell_angle_gamma 90.00
_space_group_name_H-M_alt 'P 1'
_space_group_IT_number 1
_space_group_name_Hall 'P 1'
loop_
_atom_site_label
_atom_site_type_symbol
_atom_site_fract_x
_atom_site_fract_y
_atom_site_fract_z
Fe1 Fe 0.000 0.000 0.000
Co1 Co 0.000 0.500 0.500
Co2 Co 0.500 0.000 0.500
Au1 Au 0.500 0.500 0.000
N1 N 0.000 0.000 0.500
```

***

Entry from Alexandria via LeMat-Bulk: an optimized crystal structure of Fe2CoAuN (GGA-PBE).

## Properties
* final energy: -35.84 eV per cell
* uncorrected formation energy: -0.2 eV/f.u.

Geometry as CIF:
```
data_Fe2CoAuN
_cell_length_a 3.876
_cell_length_b 3.876
_cell_length_c 3.866
_cell_angle_alpha 90.00
_cell_angle_beta 90.00
_cell_angle_gamma 90.00
_space_group_name_H-M_alt 'P 1'
_space_group_IT_number 1
_space_group_name_Hall 'P 1'
loop_
_atom_site_label
_atom_site_type_symbol
_atom_site_fract_x
_atom_site_fract_y
_atom_site_fract_z
Fe1 Fe 0.000 0.500 0.000
Fe2 Fe 0.500 0.000 0.000
Co1 Co 0.000 0.000 0.500
Au1 Au 0.500 0.500 0.500
N1 N 0.000 0.000 0.000
```

***

Entry from Alexandria via LeMat-Bulk: an optimized crystal structure of NbFe2CoAu (GGA-PBE).

## Properties
* final energy: -32.20 eV per cell
* formation energy from the elements: 1035 meV/atom

Geometry as CIF:
```
data_NbFe2CoAu
_cell_length_a 4.214
_cell_length_b 4.214
_cell_length_c 4.473
_cell_angle_alpha 90.00
_cell_angle_beta 90.00
_cell_angle_gamma 90.00
_space_group_name_H-M_alt 'P 1'
_space_group_IT_number 1
_space_group_name_Hall 'P 1'
loop_
_atom_site_label
_atom_site_type_symbol
_atom_site_fract_x
_atom_site_fract_y
_atom_site_fract_z
Nb1 Nb 0.000 0.000 0.000
Fe1 Fe 0.000 0.500 0.500
Fe2 Fe 0.500 0.000 0.500
Co1 Co 0.000 0.000 0.500
Au1 Au 0.500 0.500 0.000
```